[1]
# TmThSc4

A geometry-optimized TmThSc4 structure (PBE, the Alexandria database).

Summary:
- Formation energy from the elements: 0.0249 eV per atom
- VASP energy: -37.1 eV per formula unit
- N(E_F): 17.13 states/eV/cell

```
data_TmThSc4
_chemical_formula_sum 'Tm2 Th2 Sc8'
_cell_length_a 5.263
_cell_length_b 6.552
_cell_length_c 9.193
_cell_angle_alpha 90.00
_cell_angle_beta 90.00
_cell_angle_gamma 90.00
_symmetry_space_group_name_H-M 'I m m m'
_symmetry_Int_Tables_number 71
_symmetry_space_group_name_Hall '-I 2 2'
loop_
_atom_site_label
_atom_site_fract_x
_atom_site_fract_y
_atom_site_fract_z
_atom_site_occupancy
Tm1 0.000 0.000 0.000 1
Th1 0.000 0.500 0.000 1
Sc1 0.000 0.251 0.333 1
```


[2]
# Tm3ThSc5

A geometry-optimized Tm3ThSc5 structure (PBE, the Alexandria database).

Summary:
- Formation energy from the elements: 0.0718 eV per atom
- VASP energy: -51.8 eV per formula unit
- N(E_F): 18.07 states/eV/cell

```
data_Tm3ThSc5
_chemical_formula_sum 'Tm3 Th1 Sc5'
_cell_length_a 9.2429
_cell_length_b 9.2429
_cell_length_c 3.3419
_cell_angle_alpha 90.00
_cell_angle_beta 90.00
_cell_angle_gamma 120.00
_symmetry_space_group_name_H-M 'P -6 2 m'
_symmetry_Int_Tables_number 189
_symmetry_space_group_name_Hall 'P -6 -2'
loop_
_atom_site_label
_atom_site_fract_x
_atom_site_fract_y
_atom_site_fract_z
_atom_site_occupancy
Tm1 0.0000 0.3657 0.0000 1
Th1 0.0000 0.0000 0.0000 1
Sc1 0.0000 0.6859 0.5000 1
Sc2 0.3333 0.6667 0.5000 1
```


[3]
# TmTh5Sc6

A geometry-optimized TmTh5Sc6 structure (PBE, the Alexandria database).

Summary:
- Formation energy from the elements: 0.0463 eV per atom
- VASP energy: -79.0 eV per formula unit
- N(E_F): 27.31 states/eV/cell

```
data_TmTh5Sc6
_chemical_formula_sum 'Tm2 Th10 Sc12'
_cell_length_a 5.497
_cell_length_b 16.498
_cell_length_c 7.423
_cell_angle_alpha 90.00
_cell_angle_beta 90.00
_cell_angle_gamma 90.00
_symmetry_space_group_name_H-M 'C m m m'
_symmetry_Int_Tables_number 65
_symmetry_space_group_name_Hall '-C 2 2'
loop_
_atom_site_label
_atom_site_fract_x
_atom_site_fract_y
_atom_site_fract_z
_atom_site_occupancy
Tm1 0.000 0.000 0.000 1
Th1 0.000 0.000 0.500 1
Th2 0.000 0.334 0.500 1
Th3 0.000 0.337 0.000 1
Sc1 0.000 0.169 0.249 1
Sc2 0.000 0.500 0.261 1
```


[4]
# Tm6Th2Sc

A geometry-optimized Tm6Th2Sc structure (PBE, the Alexandria database).

Summary:
- Formation energy from the elements: 0.1244 eV per atom
- VASP energy: -46.9 eV per formula unit
- N(E_F): 53.81 states/eV/cell

```
data_Tm6Th2Sc
_chemical_formula_sum 'Tm24 Th8 Sc4'
_cell_length_a 16.100
_cell_length_b 11.425
_cell_length_c 5.930
_cell_angle_alpha 90.00
_cell_angle_beta 98.05
_cell_angle_gamma 90.00
_symmetry_space_group_name_H-M 'C 1 2/c 1'
_symmetry_Int_Tables_number 15
_symmetry_space_group_name_Hall '-C 2yc'
loop_
_atom_site_label
_atom_site_fract_x
_atom_site_fract_y
_atom_site_fract_z
_atom_site_occupancy
Tm1 0.055 0.132 0.018 1
Tm2 0.106 0.374 0.326 1
Tm3 0.211 0.370 0.877 1
Th1 0.175 0.121 0.563 1
Sc1 0.000 0.385 0.750 1
```


Number 1: M_tot 0.0 μB per formula unit. Number 2: M_tot 0.0 μB per formula unit. Number 3: M_tot 0.0 μB per formula unit. Number 4: M_tot 0.0 μB per formula unit.